1.
Here is a relaxed structure of Na2Ga2Ag from Alexandria via LeMat-Bulk. Energies are from GGA-PBE.

a b c (Å): 4.0581 4.0581 7.5627
angles (deg): 74.44 74.44 90.00
Last column: nearest neighbours and their distance in Å.
Element x y z (fractional)
Ga 0.4132 0.4132 0.1735  1 Ga 2.43
Ga 0.5868 0.5868 0.8265  1 Ga 2.43
Na 0.7500 0.2500 0.5000  4 Na 2.87, 4 Ga 3.06
Na 0.2500 0.7500 0.5000  4 Na 2.87, 4 Ga 3.06
Ag 0.0000 0.0000 0.0000  8 Ga 3.12

Total moment ... 0.0 μB per formula unit
ρ ... 4.2 Mg/m³
Calculated volume ... 23.0 Å³ per atom
Offset from the most stable computed form ... 259 meV per atom

***

2.
Here is a relaxed structure of Na3Ga2Ag7 from Alexandria via LeMat-Bulk. Energies are from GGA-PBE.

a b c (Å): 5.6768 5.6768 9.6136
angles (deg): 72.83 72.83 60.00
Last column: nearest neighbours and their distance in Å.
Element x y z (fractional)
Na 0.8565 0.8565 0.4304  12 Ag 3.31-3.38, 3 Na 3.51
Na 0.0000 0.0000 0.0000  6 Ga 3.28, 12 Ag 3.58
Na 0.1435 0.1435 0.5696  12 Ag 3.31-3.38, 3 Na 3.51
Ag 0.5813 0.0796 0.7578  2 Ga 2.72-2.75, 5 Ag 2.83-2.85
Ag 0.0796 0.5813 0.7578  2 Ga 2.72-2.75, 5 Ag 2.83-2.85
Ag 0.5000 0.5000 0.5000  6 Ag 2.85
Ag 0.4187 0.9204 0.2422  2 Ga 2.72-2.75, 5 Ag 2.83-2.85
Ag 0.5813 0.5813 0.7578  2 Ga 2.72-2.75, 5 Ag 2.83-2.85
Ag 0.4187 0.4187 0.2422  2 Ga 2.72-2.75, 5 Ag 2.83-2.85
Ag 0.9204 0.4187 0.2422  2 Ga 2.72-2.75, 5 Ag 2.83-2.85
Ga 0.6674 0.6674 0.9979  6 Ag 2.72-2.75
Ga 0.3326 0.3326 0.0021  6 Ag 2.72-2.75

Total moment ... 0.0 μB per formula unit
ρ ... 6.3 Mg/m³
E ... -30.87 eV per cell
Calculated volume ... 21.0 Å³ per atom

***

3.
Here is a relaxed structure of NaGa12Ag7 from Alexandria via LeMat-Bulk. Energies are from GGA-PBE.

a b c (Å): 8.4358 8.4358 8.4358
angles (deg): 109.47 109.47 109.47
Last column: nearest neighbours and their distance in Å.
Element x y z (fractional)
Ga 0.2579 0.6158 0.3579  4 Ag 2.65-2.87, 5 Ga 2.77-2.96
Ga 0.2579 0.9000 0.6421  4 Ag 2.65-2.87, 5 Ga 2.77-2.96
Ga 0.3579 0.7421 0.1000  4 Ag 2.65-2.87, 5 Ga 2.77-2.96
Ga 0.7421 0.1000 0.3579  4 Ag 2.65-2.87, 5 Ga 2.77-2.96
Ga 0.6158 0.3579 0.2579  4 Ag 2.65-2.87, 5 Ga 2.77-2.96
Ga 0.3579 0.2579 0.6158  4 Ag 2.65-2.87, 5 Ga 2.77-2.96
Ga 0.3842 0.6421 0.7421  4 Ag 2.65-2.87, 5 Ga 2.77-2.96
Ga 0.7421 0.3842 0.6421  4 Ag 2.65-2.87, 5 Ga 2.77-2.96
Ga 0.6421 0.7421 0.3842  4 Ag 2.65-2.87, 5 Ga 2.77-2.96
Ga 0.9000 0.6421 0.2579  4 Ag 2.65-2.87, 5 Ga 2.77-2.96
Ga 0.6421 0.2579 0.9000  4 Ag 2.65-2.87, 5 Ga 2.77-2.96
Ga 0.1000 0.3579 0.7421  4 Ag 2.65-2.87, 5 Ga 2.77-2.96
Ag 0.5000 0.5000 0.5000  6 Ga 2.65
Ag 0.0000 0.0000 0.5000  6 Ga 2.65
Ag 0.0000 0.5000 0.0000  6 Ga 2.65
Ag 0.0000 0.5000 0.5000  8 Ga 2.73-2.87
Ag 0.5000 0.0000 0.5000  8 Ga 2.73-2.87
Ag 0.5000 0.0000 0.0000  6 Ga 2.65
Ag 0.5000 0.5000 0.0000  8 Ga 2.73-2.87
Na 0.0000 0.0000 0.0000  8 Ag 4.22, 12 Ga 4.30

Total moment ... 0.0 μB per formula unit
ρ ... 5.8 Mg/m³
E ... -55.82 eV per cell
Calculated volume ... 23.1 Å³ per atom

***

4.
Here is a relaxed structure of Na2Ga2Ag from Alexandria via LeMat-Bulk. Energies are from GGA-PBE.

a b c (Å): 4.5967 5.7933 9.2759
angles (deg): 94.20 90.00 113.37
Last column: nearest neighbours and their distance in Å.
Element x y z (fractional)
Ag 0.6279 0.2559 0.9666  3 Ga 2.68-2.70, 1 Ag 2.84, 1 Na 2.97
Ag 0.3721 0.7441 0.0334  3 Ga 2.68-2.70, 1 Ag 2.84, 1 Na 2.97
Na 0.8767 0.7534 0.8067  3 Ag 3.12-3.14, 4 Ga 3.15-3.43, 2 Na 3.27
Na 0.4605 0.9210 0.3456  3 Na 2.92-3.27, 1 Ag 2.97, 4 Ga 3.11-3.22
Na 0.1233 0.2466 0.1933  3 Ag 3.12-3.14, 4 Ga 3.15-3.43, 2 Na 3.27
Na 0.5395 0.0790 0.6544  3 Na 2.92-3.27, 1 Ag 2.97, 4 Ga 3.11-3.22
Ga 0.7705 0.5411 0.4391  3 Ga 2.61-2.64
Ga 0.2295 0.4589 0.5609  3 Ga 2.61-2.64
Ga 0.1740 0.3480 0.8329  1 Ga 2.64, 3 Ag 2.68-2.70
Ga 0.8260 0.6520 0.1671  1 Ga 2.64, 3 Ag 2.68-2.70

Total moment ... 0.0 μB per formula unit
ρ ... 4.3 Mg/m³
Calculated volume ... 22.6 Å³ per atom
Offset from the most stable computed form ... 0 meV per atom

***

5.
Here is a relaxed structure of Na2Ga7Ag12 from Alexandria via LeMat-Bulk. Energies are from GGA-PBE.

a b c (Å): 2.9965 12.1164 12.1164
angles (deg): 120.00 90.00 90.00
Last column: nearest neighbours and their distance in Å.
Element x y z (fractional)
Ga 0.7477 0.5789 0.8654  7 Ag 2.75-2.86, 2 Ga 3.00
Ga 0.2523 0.7135 0.5789  7 Ag 2.75-2.86, 2 Ga 3.00
Ga 0.2523 0.4211 0.1346  7 Ag 2.75-2.86, 2 Ga 3.00
Ga 0.2523 0.8654 0.2865  7 Ag 2.75-2.86, 2 Ga 3.00
Ga 0.5000 0.0000 0.0000  6 Ag 2.74, 2 Ga 3.00
Ga 0.7477 0.1346 0.7135  7 Ag 2.75-2.86, 2 Ga 3.00
Ga 0.7477 0.2865 0.4211  7 Ag 2.75-2.86, 2 Ga 3.00
Ag 0.2486 0.1727 0.9290  4 Ga 2.74-2.84, 8 Ag 2.99-3.03
Ag 0.7524 0.0840 0.4641  4 Ga 2.75-2.86, 6 Ag 2.98-3.00
Ag 0.2486 0.0710 0.2437  4 Ga 2.74-2.84, 8 Ag 2.99-3.03
Ag 0.2486 0.7563 0.8273  4 Ga 2.74-2.84, 8 Ag 2.99-3.03
Ag 0.2476 0.6199 0.0840  4 Ga 2.75-2.86, 6 Ag 2.98-3.00
Ag 0.2476 0.9160 0.5359  4 Ga 2.75-2.86, 6 Ag 2.98-3.00
Ag 0.7524 0.3801 0.9160  4 Ga 2.75-2.86, 6 Ag 2.98-3.00
Ag 0.2476 0.4641 0.3801  4 Ga 2.75-2.86, 6 Ag 2.98-3.00
Ag 0.7514 0.2437 0.1727  4 Ga 2.74-2.84, 8 Ag 2.99-3.03
Ag 0.7524 0.5359 0.6199  4 Ga 2.75-2.86, 6 Ag 2.98-3.00
Ag 0.7514 0.8273 0.0710  4 Ga 2.74-2.84, 8 Ag 2.99-3.03
Ag 0.7514 0.9290 0.7563  4 Ga 2.74-2.84, 8 Ag 2.99-3.03
Na 0.7497 0.6667 0.3333  2 Na 3.00, 6 Ga 3.12, 6 Ag 3.16
Na 0.2503 0.3333 0.6667  2 Na 3.00, 6 Ga 3.12, 6 Ag 3.16

Total moment ... 0.0 μB per formula unit
ρ ... 8.0 Mg/m³
E ... -58.68 eV per cell
Calculated volume ... 18.1 Å³ per atom

***

6.
Here is a relaxed structure of NaGaAg4 from Alexandria via LeMat-Bulk. Energies are from GGA-PBE.

a b c (Å): 4.0043 7.3178 8.1659
angles (deg): 90.00 90.00 90.00
Last column: nearest neighbours and their distance in Å.
Element x y z (fractional)
Ga 0.0000 0.2303 0.7500  8 Ag 2.65-2.89, 1 Na 2.91
Ga 0.0000 0.7697 0.2500  8 Ag 2.65-2.89, 1 Na 2.91
Ag 0.5000 0.3096 0.5458  2 Ga 2.67, 1 Ag 2.88
Ag 0.5000 0.3096 0.9542  2 Ga 2.67, 1 Ag 2.88
Ag 0.0000 0.0000 0.0000  2 Ga 2.65, 4 Ag 2.89
Ag 0.5000 0.6904 0.0458  2 Ga 2.67, 1 Ag 2.88
Ag 0.5000 0.9452 0.7500  8 Ag 2.89-3.15, 2 Ga 2.89, 2 Na 3.07
Ag 0.5000 0.0548 0.2500  8 Ag 2.89-3.15, 2 Ga 2.89, 2 Na 3.07
Ag 0.5000 0.6904 0.4542  2 Ga 2.67, 1 Ag 2.88
Ag 0.0000 0.0000 0.5000  2 Ga 2.65, 4 Ag 2.89
Na 0.0000 0.6272 0.7500  1 Ga 2.91, 6 Ag 3.07-3.17
Na 0.0000 0.3728 0.2500  1 Ga 2.91, 6 Ag 3.07-3.17

Total moment ... 0.0 μB per formula unit
ρ ... 7.3 Mg/m³
Calculated volume ... 19.9 Å³ per atom
Offset from the most stable computed form ... 19 meV per atom

***

Q: Which formula does entry 1 have?
A: Na2Ga2Ag